Record 1
DFT (PBE) results for a relaxed TcSnP2O crystal.

Computed properties:
* formation energy (no corrections): -0.155 eV per atom
* SG: P4/mmm, No. 123
* energy relative to the lowest polymorph listed for this composition: 0 meV per atom

a = 4.886 Å, b = 4.886 Å, c = 3.713 Å
α = 90.00°, β = 90.00°, γ = 90.00°
Fractional coordinates of all 5 atoms:
P 0.000 0.500 0.000
P 0.500 0.000 0.000
Sn 0.500 0.500 0.500
O 0.000 0.000 0.500
Tc 0.000 0.000 0.000

---

Record 2
DFT (PBE) results for a relaxed La3PrYSc crystal.

Computed properties:
* calculated formation energy: 5 kJ/mol of atoms
* SG: P2_1/m, No. 11

a = 5.193 Å, b = 7.984 Å, c = 10.841 Å
α = 115.14°, β = 90.00°, γ = 90.00°
Fractional coordinates of all 12 atoms:
La 0.750 0.878 0.046
La 0.250 0.122 0.954
La 0.250 0.639 0.460
La 0.750 0.361 0.540
La 0.750 0.385 0.212
La 0.250 0.615 0.788
Pr 0.250 0.122 0.298
Pr 0.750 0.878 0.702
Y 0.250 0.632 0.128
Y 0.750 0.368 0.872
Sc 0.250 0.119 0.621
Sc 0.750 0.881 0.379

---

Record 3
DFT (PBE) results for a relaxed TmGeRuRh crystal.

Computed properties:
* calculated formation energy: -61 kJ/mol of atoms
* SG: F-43m, No. 216

a = 4.507 Å, b = 4.507 Å, c = 4.507 Å
α = 60.00°, β = 60.00°, γ = 60.00°
Fractional coordinates of all 4 atoms:
Ru 0.000 0.000 0.000
Ge 0.250 0.250 0.250
Tm 0.750 0.750 0.750
Rh 0.500 0.500 0.500

---

Record 4
DFT (PBE) results for a relaxed CoNi2Mo2 crystal.

Computed properties:
* calculated formation energy: 22 kJ/mol of atoms
* SG: P4/mbm, No. 127
* energy relative to the lowest polymorph listed for this composition: 0 meV per atom

a = 6.978 Å, b = 6.978 Å, c = 2.736 Å
α = 90.00°, β = 90.00°, γ = 90.00°
Fractional coordinates of all 10 atoms:
Ni 0.380 0.880 0.000
Ni 0.880 0.620 0.000
Ni 0.620 0.120 0.000
Ni 0.120 0.380 0.000
Mo 0.178 0.678 0.500
Mo 0.678 0.822 0.500
Mo 0.822 0.322 0.500
Mo 0.322 0.178 0.500
Co 0.000 0.000 0.000
Co 0.500 0.500 0.000

---

Record 5
DFT (PBE) results for a relaxed LiYLu2 crystal.

Computed properties:
* calculated formation energy: 8 kJ/mol of atoms
* SG: P4/mmm, No. 123
* energy relative to the lowest polymorph listed for this composition: 0 meV per atom

a = 3.548 Å, b = 3.548 Å, c = 8.706 Å
α = 90.00°, β = 90.00°, γ = 90.00°
Fractional coordinates of all 4 atoms:
Y 0.500 0.500 0.500
Lu 0.000 0.000 0.781
Lu 0.000 0.000 0.219
Li 0.500 0.500 0.000

---

Record 6
DFT (PBE) results for a relaxed Ac2Cu2Pt crystal.

Computed properties:
* calculated formation energy: -52 kJ/mol of atoms
* SG: C2/m, No. 12

a = 4.331 Å, b = 6.018 Å, c = 10.769 Å
α = 84.74°, β = 78.40°, γ = 68.91°
Fractional coordinates of all 10 atoms:
Ac 0.699 0.239 0.364
Ac 0.913 0.290 0.885
Ac 0.301 0.761 0.636
Ac 0.087 0.710 0.115
Cu 0.038 0.343 0.582
Cu 0.617 0.874 0.891
Cu 0.962 0.657 0.418
Cu 0.383 0.126 0.109
Pt 0.576 0.163 0.685
Pt 0.424 0.837 0.315

---

Record 7
DFT (PBE) results for a relaxed GdNpRu crystal.

Computed properties:
* calculated formation energy: 4 kJ/mol of atoms
* SG: I4mm, No. 107

a = 3.520 Å, b = 3.520 Å, c = 6.004 Å
α = 107.04°, β = 107.04°, γ = 90.00°
Fractional coordinates of all 3 atoms:
Np 0.700 0.700 0.401
Ru 0.306 0.306 0.612
Gd 0.994 0.994 0.987

---

Record 8
DFT (PBE) results for a relaxed Sc4Ni2Hg5 crystal.

Computed properties:
* calculated formation energy: -39 kJ/mol of atoms
* SG: P2/m, No. 10

a = 3.335 Å, b = 7.349 Å, c = 9.141 Å
α = 93.86°, β = 90.00°, γ = 90.00°
Fractional coordinates of all 11 atoms:
Sc 0.500 0.790 0.562
Sc 0.500 0.180 0.837
Sc 0.500 0.210 0.438
Sc 0.500 0.820 0.163
Ni 0.000 0.069 0.631
Ni 0.000 0.931 0.369
Hg 0.000 0.550 0.337
Hg 0.000 0.160 0.141
Hg 0.000 0.500 0.000
Hg 0.000 0.840 0.859
Hg 0.000 0.450 0.663

---

Record 9
DFT (PBE) results for a relaxed BaMnIr crystal.

Computed properties:
* calculated formation energy: 8 kJ/mol of atoms
* SG: Pm, No. 6
* energy relative to the lowest polymorph listed for this composition: 73 meV per atom

a = 5.111 Å, b = 4.321 Å, c = 8.654 Å
α = 90.00°, β = 88.52°, γ = 90.00°
Fractional coordinates of all 6 atoms:
Mn 0.497 0.302 0.834
Mn 0.996 0.302 0.714
Ba 0.527 0.302 0.450
Ba 0.054 0.802 0.039
Ir 0.731 0.802 0.746
Ir 0.250 0.802 0.687

---

Record 10
DFT (PBE) results for a relaxed CsNbIN2 crystal.

Computed properties:
* formation energy (no corrections): 2.712 eV per atom
* SG: P4/mmm, No. 123
* energy relative to the lowest polymorph listed for this composition: 2382 meV per atom

a = 4.394 Å, b = 4.394 Å, c = 6.559 Å
α = 90.00°, β = 90.00°, γ = 90.00°
Fractional coordinates of all 5 atoms:
Cs 0.000 0.000 0.000
I 0.000 0.000 0.500
Nb 0.500 0.500 0.500
N 0.000 0.500 0.000
N 0.500 0.000 0.000

---

Record 11
DFT (PBE) results for a relaxed LaTl crystal.

Computed properties:
* calculated formation energy: -32 kJ/mol of atoms
* SG: Cm, No. 8

a = 6.395 Å, b = 6.395 Å, c = 6.786 Å
α = 69.84°, β = 69.84°, γ = 49.01°
Fractional coordinates of all 6 atoms:
La 0.027 0.027 0.109
La 0.695 0.695 0.561
La 0.362 0.362 0.663
Tl 0.329 0.329 0.189
Tl 0.029 0.029 0.608
Tl 0.724 0.724 0.036

---

Record 12
DFT (PBE) results for a relaxed Na3PtPb crystal.

Computed properties:
* calculated formation energy: -13 kJ/mol of atoms
* SG: C2/m, No. 12
* energy relative to the lowest polymorph listed for this composition: 0 meV per atom

a = 7.178 Å, b = 7.178 Å, c = 7.480 Å
α = 107.94°, β = 118.94°, γ = 100.06°
Fractional coordinates of all 10 atoms:
Na 0.856 0.039 0.285
Na 0.246 0.429 0.285
Na 0.754 0.571 0.715
Na 0.704 0.451 0.155
Na 0.144 0.961 0.715
Na 0.296 0.549 0.845
Pt 0.608 0.783 0.392
Pt 0.392 0.217 0.608
Pb 0.728 0.070 0.798
Pb 0.272 0.930 0.202

---

no.,size of the total moment (μB per formula unit)
1,0.0
2,0.0
3,0.0
4,1.5
5,0.0
6,0.0
7,10.7
8,0.0
9,3.6
10,0.4
11,0.0
12,0.0